Entry 1:
Here is LiSmHg after structural relaxation from the Alexandria database. Energies are from GGA-PBE.

```
LiSmHg
1.0
6.7161 0.0000 0.0000
0.0000 4.8870 0.0000
0.0000 0.0000 8.5286
Li Sm Hg
4 4 4
Direct
0.2085 0.2500 0.0825
0.2915 0.7500 0.5825
0.7085 0.2500 0.4175
0.7915 0.7500 0.9175
0.0040 0.7500 0.2775
0.4960 0.2500 0.7775
0.5040 0.7500 0.2225
0.9960 0.2500 0.7225
0.2240 0.7500 0.9160
0.2760 0.2500 0.4160
0.7240 0.7500 0.5840
0.7760 0.2500 0.0840
```

Computed properties:
calculated volume: 23.3 Å³ per atom
offset from the most stable computed form: 15 meV/atom
energy of formation: -0.3355 eV/atom

Entry 2:
Here is Li2Sm3Hg2 after structural relaxation from the Alexandria database. Energies are from GGA-PBE.

```
Li2Sm3Hg2
1.0
5.0217 0.0000 0.0000
-2.4975 5.6305 0.0000
-0.0021 -1.9491 6.2480
Li Sm Hg
2 3 2
Direct
0.1192 0.2395 0.4825
0.8808 0.7605 0.5175
0.0000 0.0000 0.0000
0.3413 0.6817 0.2259
0.6587 0.3183 0.7741
0.3597 0.7180 0.7357
0.6403 0.2820 0.2643
```

Computed properties:
calculated volume: 25.2 Å³ per atom
energy of formation: -0.2495 eV/atom

Entry 3:
Here is LiSmHg after structural relaxation from the Alexandria database. Energies are from GGA-PBE.

```
LiSmHg
1.0
4.9019 0.0000 0.0000
-2.4510 4.2452 0.0000
0.0000 0.0000 3.4005
Li Sm Hg
1 1 1
Direct
0.0000 0.0000 0.0000
0.6667 0.3333 0.4988
0.3333 0.6667 0.9980
```

Computed properties:
calculated volume: 23.6 Å³ per atom
offset from the most stable computed form: 44 meV/atom
energy of formation: -0.3071 eV/atom

Entry 4:
Here is Li4Sm3Hg4 after structural relaxation from the Alexandria database. Energies are from GGA-PBE.

```
Li4Sm3Hg4
1.0
15.5418 -1.7349 0.0000
15.5418 1.7349 0.0000
-0.7284 0.0000 4.7151
Li Sm Hg
4 3 4
Direct
0.0936 0.0936 0.0933
0.2423 0.2423 0.7421
0.7577 0.7577 0.2579
0.9064 0.9064 0.9067
0.3570 0.3570 0.3572
0.5000 0.5000 0.0000
0.6430 0.6430 0.6428
0.0512 0.0512 0.5512
0.1855 0.1855 0.1854
0.8145 0.8145 0.8146
0.9488 0.9488 0.4488
```

Computed properties:
calculated volume: 23.1 Å³ per atom
offset from the most stable computed form: 7 meV/atom
energy of formation: -0.3243 eV/atom